A plane-wave DFT calculation with PBE+U was carried out for a geometry-optimized V2BiPdO8 structure.

Computed properties:
Calculated volume (Å³/f.u.): 183
Raw total energy (eV/atom): -6.595
Density (kg/m3): 4959

```
data_V2BiPdO8
_cell_length_a 5.7274
_cell_length_b 5.7274
_cell_length_c 6.4269
_cell_angle_alpha 90.00
_cell_angle_beta 90.00
_cell_angle_gamma 120.00
_symmetry_space_group_name_H-M 'P -3 m 1'
_symmetry_Int_Tables_number 164
_symmetry_space_group_name_Hall '-P 3 2"'
loop_
_atom_site_label
_atom_site_fract_x
_atom_site_fract_y
_atom_site_fract_z
_atom_site_occupancy
V1 0.3333 0.6667 0.2808 1
Bi1 0.0000 0.0000 0.5000 1
Pd1 0.0000 0.0000 0.0000 1
O1 0.1582 0.3165 0.2152 1
O2 0.3333 0.6667 0.5376 1
```